This record from Alexandria via LeMat-Bulk describes a relaxed Sn2CSe crystal. The functional is PBE-GGA.

Theoretical density = 6.10 g cm⁻³
E_tot = -0.16943 Ha/atom
Energy above the lowest structure with this stoichiometry = 0.000 eV/atom
Space-group type = I-42d
V = 89 Å³/f.u.

a b c (Å): 6.2388 6.2388 6.2388
angles (deg): 116.88 116.88 95.50
Atoms (fractional coordinates):
Sn  0.0496  0.6250  0.9246
Sn  0.3750  0.2996  0.4246
Sn  0.7004  0.1250  0.0754
Sn  0.8750  0.9504  0.5754
C  0.0000  0.0000  0.0000
C  0.7500  0.2500  0.5000
Se  0.2500  0.7500  0.5000
Se  0.5000  0.5000  0.0000

---

This record from Alexandria via LeMat-Bulk describes a relaxed SnCSe2 crystal. The functional is PBE-GGA.

Theoretical density = 6.02 g cm⁻³
E_tot = -0.14679 Ha/atom
Energy above the lowest structure with this stoichiometry = 0.290 eV/atom
Space-group type = R-3m
V = 80 Å³/f.u.

a b c (Å): 8.8220 8.8220 8.8220
angles (deg): 21.33 21.33 21.33
Atoms (fractional coordinates):
Sn  0.0000  0.0000  0.0000
C  0.5000  0.5000  0.5000
Se  0.1141  0.1141  0.1141
Se  0.8859  0.8859  0.8859

---

This record from Alexandria via LeMat-Bulk describes a relaxed Sn2CSe crystal. The functional is PBE-GGA.

Theoretical density = 6.72 g cm⁻³
E_tot = -0.14604 Ha/atom
Energy above the lowest structure with this stoichiometry = 0.636 eV/atom
Space-group type = Fm-3m
V = 81 Å³/f.u.

a b c (Å): 4.8589 4.8589 4.8589
angles (deg): 60.00 60.00 60.00
Atoms (fractional coordinates):
Sn  0.2500  0.2500  0.2500
Sn  0.7500  0.7500  0.7500
C  0.0000  0.0000  0.0000
Se  0.5000  0.5000  0.5000

---

no.,uncorrected formation energy (eV per atom)
1,0.568
2,1.055
3,1.205